a) VASP calculation (GGA-PBE) on a relaxed BaOsCl2 crystal.

Properties
crystal system = orthorhombic
Fermi-level density of states = 5.77 states/eV per cell

Cell: 3.3362 4.1499 16.1559 Å, 90.00 90.00 90.00°
Last column: nearest neighbours and their distance in Å.
Fractional coordinates of all 8 atoms:
1 Ba 0.0000 0.0000 0.0000  6 Cl 3.06-3.40, 2 Os 3.20, 2 Ba 3.34
2 Ba 0.5000 0.5000 0.5000  6 Cl 3.06-3.40, 2 Os 3.20, 2 Ba 3.34
3 Os 0.0000 0.5000 0.3308  4 Cl 2.66
4 Os 0.5000 0.0000 0.8308  4 Cl 2.66
5 Cl 0.0000 0.0000 0.5937  4 Ba 3.06, 2 Cl 3.34
6 Cl 0.0000 0.5000 0.8335  4 Os 2.66
7 Cl 0.5000 0.0000 0.3335  4 Os 2.66
8 Cl 0.5000 0.5000 0.0937  4 Ba 3.06, 2 Cl 3.34

---

b) VASP calculation (GGA-PBE) on a relaxed BaOsCl2 crystal.

Properties
crystal system = tetragonal
Fermi-level density of states = 1.83 states/eV per cell

Cell: 3.5041 3.5041 8.3178 Å, 90.00 90.00 90.00°
Last column: nearest neighbours and their distance in Å.
Fractional coordinates of all 4 atoms:
1 Ba 0.0000 0.0000 0.0000  5 Cl 3.08-3.15
2 Os 0.5000 0.5000 0.6929  4 Cl 2.55
3 Cl 0.0000 0.0000 0.6211  4 Os 2.55
4 Cl 0.5000 0.5000 0.2202  4 Ba 3.08

---

Which structure loses on stability? a) does.

---

a) VASP calculation (GGA-PBE) on a relaxed BaOs2Cl crystal.

Properties
crystal system = monoclinic
Fermi-level density of states = 5.92 states/eV per cell

Cell: 4.3572 3.2665 6.5938 Å, 90.00 90.17 90.00°
Last column: nearest neighbours and their distance in Å.
Fractional coordinates of all 4 atoms:
1 Ba 0.0000 0.0000 0.0000  4 Cl 2.72
2 Os 0.0000 0.5000 0.5000  4 Os 2.72
3 Os 0.5000 0.0000 0.5000  4 Os 2.72
4 Cl 0.5000 0.5000 0.0000  4 Ba 2.72

---

b) VASP calculation (GGA-PBE) on a relaxed BaOs2Cl crystal.

Properties
crystal system = monoclinic
Fermi-level density of states = 7.24 states/eV per cell

Cell: 12.8792 3.8110 4.6612 Å, 90.00 99.22 90.00°
Last column: nearest neighbours and their distance in Å.
Fractional coordinates of all 8 atoms:
1 Ba 0.0000 0.0000 0.0000  4 Cl 3.01
2 Ba 0.5000 0.5000 0.0000  4 Cl 3.01
3 Os 0.2503 0.0000 0.8595  2 Os 2.31
4 Os 0.2497 0.5000 0.1405  2 Os 2.31
5 Os 0.7497 0.0000 0.1405  2 Os 2.31
6 Os 0.7503 0.5000 0.8595  2 Os 2.31
7 Cl 0.0000 0.5000 0.5000  4 Ba 3.01
8 Cl 0.5000 0.0000 0.5000  4 Ba 3.01

---

c) VASP calculation (GGA-PBE) on a relaxed BaOs2Cl crystal.

Properties
crystal system = tetragonal
Fermi-level density of states = 11.03 states/eV per cell

Cell: 5.0770 5.0770 15.6019 Å, 90.00 90.00 90.00°
Last column: nearest neighbours and their distance in Å.
Fractional coordinates of all 16 atoms:
1 Ba 0.0000 0.2500 0.3750  8 Os 3.44, 4 Cl 3.59
2 Ba 0.0000 0.7500 0.6250  8 Os 3.44, 4 Cl 3.59
3 Ba 0.5000 0.2500 0.1250  8 Os 3.44, 4 Cl 3.59
4 Ba 0.5000 0.7500 0.8750  8 Os 3.44, 4 Cl 3.59
5 Os 0.0000 0.0000 0.0000  2 Cl 2.33, 2 Os 2.54
6 Os 0.0000 0.5000 0.0000  2 Cl 2.33, 2 Os 2.54
7 Os 0.2500 0.2500 0.7500  2 Cl 2.33, 2 Os 2.54
8 Os 0.2500 0.7500 0.2500  2 Cl 2.33, 2 Os 2.54
9 Os 0.5000 0.0000 0.5000  2 Cl 2.33, 2 Os 2.54
10 Os 0.5000 0.5000 0.5000  2 Cl 2.33, 2 Os 2.54
11 Os 0.7500 0.2500 0.7500  2 Cl 2.33, 2 Os 2.54
12 Os 0.7500 0.7500 0.2500  2 Cl 2.33, 2 Os 2.54
13 Cl 0.0000 0.2500 0.8750  4 Os 2.33
14 Cl 0.0000 0.7500 0.1250  4 Os 2.33
15 Cl 0.5000 0.2500 0.6250  4 Os 2.33
16 Cl 0.5000 0.7500 0.3750  4 Os 2.33

---

d) VASP calculation (GGA-PBE) on a relaxed BaOs2Cl crystal.

Properties
crystal system = cubic
Fermi-level density of states = 23.58 states/eV per cell

Cell: 6.9076 6.9076 6.9076 Å, 90.00 90.00 90.00°
Last column: nearest neighbours and their distance in Å.
Fractional coordinates of all 16 atoms:
1 Ba 0.0000 0.0000 0.0000  4 Cl 2.99, 4 Os 2.99
2 Ba 0.0000 0.5000 0.5000  4 Cl 2.99, 4 Os 2.99
3 Ba 0.5000 0.0000 0.5000  4 Cl 2.99, 4 Os 2.99
4 Ba 0.5000 0.5000 0.0000  4 Cl 2.99, 4 Os 2.99
5 Os 0.0000 0.0000 0.5000  4 Cl 2.99, 4 Os 2.99
6 Os 0.0000 0.5000 0.0000  4 Cl 2.99, 4 Os 2.99
7 Os 0.2500 0.2500 0.2500  4 Ba 2.99, 4 Os 2.99
8 Os 0.2500 0.7500 0.7500  4 Ba 2.99, 4 Os 2.99
9 Os 0.5000 0.0000 0.0000  4 Cl 2.99, 4 Os 2.99
10 Os 0.5000 0.5000 0.5000  4 Cl 2.99, 4 Os 2.99
11 Os 0.7500 0.2500 0.7500  4 Ba 2.99, 4 Os 2.99
12 Os 0.7500 0.7500 0.2500  4 Ba 2.99, 4 Os 2.99
13 Cl 0.2500 0.2500 0.7500  4 Ba 2.99, 4 Os 2.99
14 Cl 0.2500 0.7500 0.2500  4 Ba 2.99, 4 Os 2.99
15 Cl 0.7500 0.2500 0.2500  4 Ba 2.99, 4 Os 2.99
16 Cl 0.7500 0.7500 0.7500  4 Ba 2.99, 4 Os 2.99

---

Which structure loses on stability? d) does.

---

a) VASP calculation (GGA-PBE) on a relaxed BaOsCl6 crystal.

Properties
crystal system = triclinic
Fermi-level density of states = 6.38 states/eV per cell

Cell: 6.6438 6.6558 7.2137 Å, 90.08 117.32 119.88°
Last column: nearest neighbours and their distance in Å.
Fractional coordinates of all 8 atoms:
1 Ba 0.0000 0.0000 0.0000  6 Cl 3.17
2 Os 0.0000 0.5000 0.5000  6 Cl 2.35
3 Cl 0.1683 0.4851 0.2800  1 Os 2.35
4 Cl 0.2043 0.3170 0.7199  1 Os 2.35
5 Cl 0.4019 0.8863 0.7207  1 Os 2.35
6 Cl 0.5981 0.1137 0.2793  1 Os 2.35
7 Cl 0.7957 0.6830 0.2801  1 Os 2.35
8 Cl 0.8317 0.5149 0.7200  1 Os 2.35

---

b) VASP calculation (GGA-PBE) on a relaxed BaOsCl6 crystal.

Properties
crystal system = monoclinic
Fermi-level density of states = 10.82 states/eV per cell

Cell: 7.7742 9.8566 6.1984 Å, 90.00 110.38 90.00°
Last column: nearest neighbours and their distance in Å.
Fractional coordinates of all 16 atoms:
1 Ba 0.0000 0.0000 0.0000  6 Cl 3.26-3.27
2 Ba 0.5000 0.5000 0.0000  6 Cl 3.26-3.27
3 Os 0.0000 0.5000 0.5000  6 Cl 2.35
4 Os 0.5000 0.0000 0.5000  6 Cl 2.35
5 Cl 0.1166 0.3333 0.7837  1 Os 2.35
6 Cl 0.1166 0.6667 0.7837  1 Os 2.35
7 Cl 0.2168 0.0000 0.5572  1 Os 2.35
8 Cl 0.2832 0.5000 0.4428  1 Os 2.35
9 Cl 0.3834 0.1667 0.2163  1 Os 2.35
10 Cl 0.3834 0.8333 0.2163  1 Os 2.35
11 Cl 0.6166 0.1667 0.7837  1 Os 2.35
12 Cl 0.6166 0.8333 0.7837  1 Os 2.35
13 Cl 0.7168 0.5000 0.5572  1 Os 2.35
14 Cl 0.7832 0.0000 0.4428  1 Os 2.35
15 Cl 0.8834 0.3333 0.2163  1 Os 2.35
16 Cl 0.8834 0.6667 0.2163  1 Os 2.35

---

Which structure loses on stability? a) does.

---

a) VASP calculation (GGA-PBE) on a relaxed BaPOsCl2 crystal.

Properties
crystal system = tetragonal
Fermi-level density of states = 6.31 states/eV per cell

Cell: 5.9302 5.9302 6.5433 Å, 90.00 90.00 90.00°
Last column: nearest neighbours and their distance in Å.
Fractional coordinates of all 5 atoms:
1 Ba 0.0000 0.0000 0.0000  4 Cl 2.97, 2 P 3.27
2 P 0.0000 0.0000 0.5000  2 Ba 3.27
3 Os 0.5000 0.5000 0.5000  4 P 4.19, 8 Cl 4.42
4 Cl 0.0000 0.5000 0.0000  2 Ba 2.97
5 Cl 0.5000 0.0000 0.0000  2 Ba 2.97

---

b) VASP calculation (GGA-PBE) on a relaxed BaPOsCl2 crystal.

Properties
crystal system = tetragonal
Fermi-level density of states = 2.37 states/eV per cell

Cell: 5.1455 5.1455 4.5198 Å, 90.00 90.00 90.00°
Last column: nearest neighbours and their distance in Å.
Fractional coordinates of all 5 atoms:
1 Ba 0.0000 0.0000 0.0000  8 Cl 3.42, 4 P 3.64
2 P 0.5000 0.5000 0.0000  2 Os 2.26
3 Os 0.5000 0.5000 0.5000  2 P 2.26
4 Cl 0.0000 0.5000 0.5000  2 Os 2.57
5 Cl 0.5000 0.0000 0.5000  2 Os 2.57

---

Which structure loses on stability? a) does.

---

a) VASP calculation (GGA-PBE) on a relaxed BaOsS2Cl crystal.

Properties
crystal system = tetragonal
Fermi-level density of states = 6.76 states/eV per cell

Cell: 5.9920 5.9920 5.8204 Å, 90.00 90.00 90.00°
Last column: nearest neighbours and their distance in Å.
Fractional coordinates of all 5 atoms:
1 Ba 0.0000 0.0000 0.0000  2 Cl 2.91, 4 S 3.00
2 Os 0.5000 0.5000 0.5000  8 S 4.18, 4 Cl 4.24
3 S 0.0000 0.5000 0.0000  2 Ba 3.00
4 S 0.5000 0.0000 0.0000  2 Ba 3.00
5 Cl 0.0000 0.0000 0.5000  2 Ba 2.91

---

b) VASP calculation (GGA-PBE) on a relaxed BaOsS2Cl crystal.

Properties
crystal system = tetragonal
Fermi-level density of states = 4.55 states/eV per cell

Cell: 4.7280 4.7280 5.0600 Å, 90.00 90.00 90.00°
Last column: nearest neighbours and their distance in Å.
Fractional coordinates of all 5 atoms:
1 Ba 0.0000 0.0000 0.0000  4 Cl 3.34, 8 S 3.46
2 Os 0.5000 0.5000 0.5000  4 S 2.36, 2 Cl 2.53
3 S 0.0000 0.5000 0.5000  2 Os 2.36
4 S 0.5000 0.0000 0.5000  2 Os 2.36
5 Cl 0.5000 0.5000 0.0000  2 Os 2.53

---

Which structure loses on stability? a) does.

---

a) VASP calculation (GGA-PBE) on a relaxed BaPCl2 crystal.

Properties
crystal system = cubic

Cell: 7.6997 7.6997 7.6997 Å, 90.00 90.00 90.00°
Last column: nearest neighbours and their distance in Å.
Fractional coordinates of all 16 atoms:
1 Ba 0.0000 0.0000 0.0000  4 Cl 3.33, 4 P 3.33
2 Ba 0.0000 0.5000 0.5000  4 Cl 3.33, 4 P 3.33
3 Ba 0.5000 0.0000 0.5000  4 Cl 3.33, 4 P 3.33
4 Ba 0.5000 0.5000 0.0000  4 Cl 3.33, 4 P 3.33
5 P 0.2500 0.2500 0.2500  4 Ba 3.33, 4 Cl 3.33
6 P 0.2500 0.7500 0.7500  4 Ba 3.33, 4 Cl 3.33
7 P 0.7500 0.2500 0.7500  4 Ba 3.33, 4 Cl 3.33
8 P 0.7500 0.7500 0.2500  4 Ba 3.33, 4 Cl 3.33
9 Cl 0.0000 0.0000 0.5000  4 P 3.33, 4 Cl 3.33
10 Cl 0.0000 0.5000 0.0000  4 P 3.33, 4 Cl 3.33
11 Cl 0.2500 0.2500 0.7500  4 Ba 3.33, 4 Cl 3.33
12 Cl 0.2500 0.7500 0.2500  4 Ba 3.33, 4 Cl 3.33
13 Cl 0.5000 0.0000 0.0000  4 P 3.33, 4 Cl 3.33
14 Cl 0.5000 0.5000 0.5000  4 P 3.33, 4 Cl 3.33
15 Cl 0.7500 0.2500 0.2500  4 Ba 3.33, 4 Cl 3.33
16 Cl 0.7500 0.7500 0.7500  4 Ba 3.33, 4 Cl 3.33

---

b) VASP calculation (GGA-PBE) on a relaxed BaPCl2 crystal.

Properties
crystal system = monoclinic
Fermi-level density of states = 1.25 states/eV per cell

Cell: 5.0401 4.6360 5.0515 Å, 90.00 92.55 90.00°
Last column: nearest neighbours and their distance in Å.
Fractional coordinates of all 4 atoms:
1 Ba 0.0000 0.0000 0.0000  4 Cl 3.12, 2 P 3.49
2 P 0.5000 0.0000 0.5000  4 Cl 2.79
3 Cl 0.2876 0.5000 0.7131  2 P 2.79, 1 Cl 3.10
4 Cl 0.7124 0.5000 0.2869  2 P 2.79, 1 Cl 3.10

---

Which structure loses on stability? a) does.